Record 1
DFT (GGA-PBE) results for a relaxed TmMgGa crystal.

Output
- Symmetry: P6_3/mmc, No. 194
- Polymorph energy (0 for the lowest one): 75 meV/atom
- Total DFT energy (no corrections): -0.2512 Ry per atom
- Calculated volume: 21.78 A^3/atom

```
TmMgGa
1.0
4.665 0.000 0.000
-2.333 4.040 0.000
0.000 0.000 6.931
Mg Ga Tm
2 2 2
Direct
0.333 0.667 0.250
0.667 0.333 0.750
0.333 0.667 0.750
0.667 0.333 0.250
0.000 0.000 0.500
0.000 0.000 0.000
```


Record 2
DFT (GGA-PBE) results for a relaxed LuMgTe3Au crystal.

Output
- Symmetry: Cmcm, No. 63
- Polymorph energy (0 for the lowest one): 0 meV/atom
- Total DFT energy (no corrections): -0.2856 Ry per atom
- Calculated volume: 29.00 A^3/atom

```
LuMgTe3Au
1.0
7.539 -2.086 0.000
7.539 2.086 0.000
0.000 0.000 11.067
Te Au Lu Mg
6 2 2 2
Direct
0.903 0.903 0.750
0.647 0.647 0.556
0.353 0.353 0.444
0.647 0.647 0.944
0.097 0.097 0.250
0.353 0.353 0.056
0.522 0.522 0.750
0.478 0.478 0.250
0.000 0.000 0.500
0.000 0.000 0.000
0.850 0.850 0.250
0.150 0.150 0.750
```


Record 3
DFT (GGA-PBE) results for a relaxed TbTmHg crystal.

Output
- Symmetry: F-43m, No. 216
- Polymorph energy (0 for the lowest one): 246 meV/atom
- Total DFT energy (no corrections): -0.2390 Ry per atom
- Formation energy from the elements: -0.12 eV per atom
- Calculated volume: 30.70 A^3/atom

```
TbTmHg
1.0
0.000 3.584 3.584
3.584 0.000 3.584
3.584 3.584 0.000
Hg Tb Tm
1 1 1
Direct
0.000 0.000 0.000
0.250 0.250 0.250
0.750 0.750 0.750
```


Record 4
DFT (GGA-PBE) results for a relaxed LaNdTlPd2 crystal.

Output
- Symmetry: Amm2, No. 38
- Total DFT energy (no corrections): -0.3840 Ry per atom
- Calculated volume: 25.14 A^3/atom

```
LaNdTlPd2
1.0
3.867 0.000 0.000
0.000 2.108 7.711
0.000 -2.108 7.711
Pd La Nd Tl
2 1 1 1
Direct
0.000 0.809 0.809
0.000 0.190 0.190
0.500 0.634 0.634
0.500 0.368 0.368
0.000 0.999 0.999
```